# GGA-PBE BeFeAg, optimized geometry
# Calculated volume, Å³/cell: 75.0
# DFT total energy, eV per cell: -28.98
# Energy of formation, eV/atom: 0.18
# Excess energy over the best structure of this formula in the dataset, eV/atom: 0.000
# ρ, g/cm³: 7.654
# Magnetization, Bohr magnetons per cell: 4.71
data_BeFeAg
_symmetry_space_group_name_H-M 'I 4 m m'
_symmetry_Int_Tables_number 107
_symmetry_space_group_name_Hall 'I 4 -2'
_cell_length_a 2.678
_cell_length_b 2.678
_cell_length_c 10.454
_cell_angle_alpha 90.00
_cell_angle_beta 90.00
_cell_angle_gamma 90.00
loop_
_atom_site_label
_atom_site_type_symbol
_atom_site_fract_x
_atom_site_fract_y
_atom_site_fract_z
Be1 Be 0.000 0.000 0.000
Fe1 Fe 0.000 0.000 0.633
Ag1 Ag 0.000 0.000 0.335

# GGA-PBE ThAlPt2, optimized geometry
# Calculated volume, Å³/cell: 317.2
# DFT total energy, eV per cell: -111.76
# Energy of formation, eV/atom: -1.17
# ρ, g/cm³: 13.593
# Magnetization, Bohr magnetons per cell: 0.00
data_ThAlPt2
_symmetry_space_group_name_H-M 'P n m a'
_symmetry_Int_Tables_number 62
_cell_length_a 7.470
_cell_length_b 6.996
_cell_length_c 6.070
_cell_angle_alpha 90.00
_cell_angle_beta 90.00
_cell_angle_gamma 90.00
loop_
_symmetry_equiv_pos_as_xyz
'x,y,z'
'-x,-y,-z'
'-x+1/2,-y,z+1/2'
'x+1/2,y,-z+1/2'
'x+1/2,-y+1/2,-z+1/2'
'-x+1/2,y+1/2,z+1/2'
'-x,y+1/2,-z'
'x,-y+1/2,z'
loop_
_atom_site_label
_atom_site_type_symbol
_atom_site_fract_x
_atom_site_fract_y
_atom_site_fract_z
Th1 Th 0.028 0.250 0.161
Al1 Al 0.117 0.750 0.343
Pt1 Pt 0.186 0.050 0.579

# GGA-PBE Rb2ZrInCl6, optimized geometry
# Calculated volume, Å³/cell: 2128.5
# DFT total energy, eV per cell: -240.60
# Excess energy over the best structure of this formula in the dataset, eV/atom: 0.012
# ρ, g/cm³: 2.760
# Magnetization, Bohr magnetons per cell: 0.24
data_Rb2ZrInCl6
_symmetry_space_group_name_H-M 'R -3 m'
_symmetry_Int_Tables_number 166
_symmetry_space_group_name_Hall '-R 3 2"'
_cell_length_a 8.4419
_cell_length_b 8.4419
_cell_length_c 34.4877
_cell_angle_alpha 90.00
_cell_angle_beta 90.00
_cell_angle_gamma 120.00
loop_
_atom_site_label
_atom_site_type_symbol
_atom_site_fract_x
_atom_site_fract_y
_atom_site_fract_z
Rb1 Rb 0.0000 0.0000 0.1297
Rb2 Rb 0.0000 0.0000 0.2700
Zr1 Zr 0.0000 0.0000 0.0000
Zr2 Zr 0.0000 0.0000 0.5000
In1 In 0.0000 0.0000 0.4062
Cl1 Cl 0.0111 0.5055 0.1315
Cl2 Cl 0.0601 0.5301 0.7102

# GGA-PBE CeGdBeGa, optimized geometry
# Calculated volume, Å³/cell: 354.3
# DFT total energy, eV per cell: -109.67
# Energy of formation, eV/atom: -0.16
# ρ, g/cm³: 7.052
# Magnetization, Bohr magnetons per cell: 27.33
data_CeGdBeGa
_symmetry_space_group_name_H-M 'F -4 3 m'
_symmetry_Int_Tables_number 216
_symmetry_space_group_name_Hall 'F -4 2 3'
_cell_length_a 7.076
_cell_length_b 7.076
_cell_length_c 7.076
_cell_angle_alpha 90.00
_cell_angle_beta 90.00
_cell_angle_gamma 90.00
loop_
_atom_site_label
_atom_site_type_symbol
_atom_site_fract_x
_atom_site_fract_y
_atom_site_fract_z
Ce1 Ce 0.000 0.000 0.000
Gd1 Gd 0.000 0.000 0.500
Be1 Be 0.250 0.250 0.250
Ga1 Ga 0.250 0.250 0.750

# GGA-PBE DyNb2, optimized geometry
# Calculated volume, Å³/cell: 134.0
# DFT total energy, eV per cell: -48.54
# Energy of formation, eV/atom: 0.16
# Excess energy over the best structure of this formula in the dataset, eV/atom: 0.000
# ρ, g/cm³: 8.634
# Magnetization, Bohr magnetons per cell: 0.00
data_DyNb2
_symmetry_space_group_name_H-M 'I 4/m m m'
_symmetry_Int_Tables_number 139
_symmetry_space_group_name_Hall '-I 4 2'
_cell_length_a 3.506
_cell_length_b 3.506
_cell_length_c 10.898
_cell_angle_alpha 90.00
_cell_angle_beta 90.00
_cell_angle_gamma 90.00
loop_
_atom_site_label
_atom_site_type_symbol
_atom_site_fract_x
_atom_site_fract_y
_atom_site_fract_z
Dy1 Dy 0.000 0.000 0.000
Nb1 Nb 0.000 0.000 0.305

# GGA-PBE TbAl3Ag3, optimized geometry
# Calculated volume, Å³/cell: 889.3
# DFT total energy, eV per cell: -150.41
# Energy of formation, eV/atom: -0.09
# Excess energy over the best structure of this formula in the dataset, eV/atom: 0.000
# ρ, g/cm³: 6.313
# Magnetization, Bohr magnetons per cell: 0.00
data_TbAl3Ag3
_symmetry_space_group_name_H-M 'R -3'
_symmetry_Int_Tables_number 148
_symmetry_space_group_name_Hall '-R 3'
_cell_length_a 8.0812
_cell_length_b 8.0812
_cell_length_c 15.7245
_cell_angle_alpha 90.00
_cell_angle_beta 90.00
_cell_angle_gamma 120.00
loop_
_atom_site_label
_atom_site_type_symbol
_atom_site_fract_x
_atom_site_fract_y
_atom_site_fract_z
Tb1 Tb 0.0000 0.0000 0.1783
Al1 Al 0.9997 0.3408 0.2897
Ag1 Ag 0.0054 0.7156 0.5522